Model a:
Below is an optimized crystal structure of Tb2Nd3Dy, with properties calculated at the PBE level.

a b c (Å): 10.901 6.294 11.674
angles (deg): 90.00 90.00 90.00
Space group Cmcm (No. 63)
Symmetry-distinct sites (fractional):
Tb 0.167 0.167 0.250 x8
Nd 0.000 0.000 0.000 x4
Nd 0.166 0.500 0.000 x8
Dy 0.000 0.333 0.750 x4

***

Model b:
Below is an optimized crystal structure of Tb2Nd3Dy, with properties calculated at the PBE level.

a b c (Å): 11.192 12.300 6.783
angles (deg): 90.00 90.00 90.00
Space group Ibam (No. 72)
Symmetry-distinct sites (fractional):
Tb 0.243 0.175 0.000 x8
Nd 0.000 0.000 0.250 x4
Nd 0.000 0.265 0.250 x8
Dy 0.000 0.500 0.000 x4

***

We find model a to be the most stable, with the next structure 581 meV/atom higher.